No. 1
This record from the Alexandria database describes a relaxed Nd6HoEr crystal. The functional is GGA-PBE.

Its space group is P4/mmm. The calculation puts the total energy at -0.1728 Ha/atom. As for the formation enthalpy at 0 K: 15 meV per atom.

a = 5.1449 Å, b = 5.1449 Å, c = 10.2900 Å
α = 90.00°, β = 90.00°, γ = 90.00°
Sites, in units of the cell vectors:
1 Nd 0.5000 0.5000 0.5000
2 Nd 0.0000 0.5000 0.7498
3 Ho 0.0000 0.0000 0.0000
4 Er 0.0000 0.0000 0.5000
5 Nd 0.0000 0.5000 0.2502
6 Nd 0.5000 0.0000 0.7498
7 Nd 0.5000 0.5000 0.0000
8 Nd 0.5000 0.0000 0.2502

No. 2
This record from the Alexandria database describes a relaxed FeIBrN2 crystal. The functional is GGA-PBE.

The calculation puts the uncorrected formation energy at 2.221 eV/atom. Its space group is P4/mmm. The calculation puts the total energy at -0.1267 Ha/atom. Its excess energy over the best structure of this formula in the dataset is 949 meV/atom.

a = 3.9058 Å, b = 3.9058 Å, c = 7.4074 Å
α = 90.00°, β = 90.00°, γ = 90.00°
Sites, in units of the cell vectors:
1 N 0.0000 0.5000 0.0000
2 N 0.5000 0.0000 0.0000
3 I 0.0000 0.0000 0.5000
4 Br 0.0000 0.0000 0.0000
5 Fe 0.5000 0.5000 0.5000

No. 3
This record from the Alexandria database describes a relaxed AcHoPu2O8 crystal. The functional is GGA-PBE.

The calculation puts the uncorrected formation energy at -3.068 eV/atom. Its space group is I-4m2. The calculation puts the total energy at -0.3486 Ha/atom.

a = 5.4995 Å, b = 5.4995 Å, c = 6.6579 Å
α = 114.39°, β = 114.39°, γ = 90.00°
Sites, in units of the cell vectors:
1 Ac 0.7500 0.2500 0.5000
2 O 0.8813 0.8491 0.2421
3 O 0.6067 0.6390 0.7578
4 Pu 0.2500 0.7500 0.5000
5 O 0.3610 0.8489 0.2422
6 O 0.1509 0.6391 0.7579
7 O 0.1511 0.1188 0.7578
8 O 0.6070 0.1187 0.7579
9 O 0.8812 0.3933 0.2422
10 Ho 0.0000 0.0000 0.0000
11 Pu 0.5000 0.5000 0.0000
12 O 0.3609 0.3930 0.2421

No. 4
This record from the Alexandria database describes a relaxed TeAs2Rh crystal. The functional is GGA-PBE.

The calculation puts the uncorrected formation energy at -0.046 eV/atom. Its space group is P4/mmm. The calculation puts the total energy at -0.1835 Ha/atom.

a = 3.0801 Å, b = 3.0801 Å, c = 9.1529 Å
α = 90.00°, β = 90.00°, γ = 90.00°
Sites, in units of the cell vectors:
1 As 0.0000 0.0000 0.0868
2 Rh 0.5000 0.5000 0.2500
3 As 0.0000 0.0000 0.4132
4 Te 0.5000 0.5000 0.7500